# YZn3Ag GGA-PBE relaxed
# ΔE_f, meV per atom: -238
# Uncorrected energy, eV/cell: -57.30
# Distance to the lowest polymorph of the same formula, meV per atom: 2.7
data_YZn3Ag
_space_group_name_H-M_alt 'C 1 2/m 1'
_space_group_IT_number 12
_cell_length_a 7.7605
_cell_length_b 6.3899
_cell_length_c 7.7815
_cell_angle_alpha 90.00
_cell_angle_beta 105.48
_cell_angle_gamma 90.00
loop_
_space_group_symop_operation_xyz
'x,y,z'
'-x,-y,-z'
'-x,y,-z'
'x,-y,z'
'x+1/2,y+1/2,z'
'-x+1/2,-y+1/2,-z'
'-x+1/2,y+1/2,-z'
'x+1/2,-y+1/2,z'
loop_
_atom_site_label
_atom_site_fract_x
_atom_site_fract_y
_atom_site_fract_z
Y1 0.2466 0.0000 0.2439
Zn1 0.0000 0.3060 0.0000
Zn2 0.1493 0.0000 0.8504
Zn3 0.1544 0.5000 0.3465
Ag1 0.0000 0.2091 0.5000

---

# Y3Zn6Ag5 GGA-PBE relaxed
# ΔE_f, meV per atom: -259
# Uncorrected energy, eV/cell: -89.83
data_Y3Zn6Ag5
_space_group_name_H-M_alt 'I m m m'
_space_group_IT_number 71
_space_group_name_Hall '-I 2 2'
_cell_length_a 4.4285
_cell_length_b 9.4035
_cell_length_c 13.0959
_cell_angle_alpha 90.00
_cell_angle_beta 90.00
_cell_angle_gamma 90.00
loop_
_atom_site_label
_atom_site_fract_x
_atom_site_fract_y
_atom_site_fract_z
Y1 0.0000 0.0000 0.0000
Y2 0.0000 0.0000 0.2986
Zn1 0.0000 0.1848 0.5000
Zn2 0.0000 0.2865 0.1297
Ag1 0.0000 0.3531 0.3351
Ag2 0.0000 0.5000 0.0000

---

# Y3Zn4Ag2 GGA-PBE relaxed
# ΔE_f, meV per atom: -348
# Uncorrected energy, eV/cell: -66.65
data_Y3Zn4Ag2
_space_group_name_H-M_alt 'C 1 2/m 1'
_space_group_IT_number 12
_cell_length_a 10.6454
_cell_length_b 4.5238
_cell_length_c 8.6832
_cell_angle_alpha 90.00
_cell_angle_beta 114.58
_cell_angle_gamma 90.00
loop_
_space_group_symop_operation_xyz
'x,y,z'
'-x,-y,-z'
'-x,y,-z'
'x,-y,z'
'x+1/2,y+1/2,z'
'-x+1/2,-y+1/2,-z'
'-x+1/2,y+1/2,-z'
'x+1/2,-y+1/2,z'
loop_
_atom_site_label
_atom_site_fract_x
_atom_site_fract_y
_atom_site_fract_z
Y1 0.0000 0.0000 0.0000
Y2 0.1689 0.5000 0.6665
Zn1 0.0470 0.0000 0.3864
Zn2 0.2271 0.5000 0.0551
Ag1 0.1098 0.5000 0.2747

---

# YZnAg2 GGA-PBE relaxed
# ΔE_f, meV per atom: -128
# Uncorrected energy, eV/cell: -13.95
data_YZnAg2
_space_group_name_H-M_alt 'P 4/m m m'
_space_group_IT_number 123
_space_group_name_Hall '-P 4 2'
_cell_length_a 4.3980
_cell_length_b 4.3980
_cell_length_c 4.3169
_cell_angle_alpha 90.00
_cell_angle_beta 90.00
_cell_angle_gamma 90.00
loop_
_atom_site_label
_atom_site_fract_x
_atom_site_fract_y
_atom_site_fract_z
Y1 0.0000 0.0000 0.0000
Zn1 0.5000 0.5000 0.0000
Ag1 0.0000 0.5000 0.5000

---

# YZn2Ag GGA-PBE relaxed
# ΔE_f, meV per atom: -188
# Uncorrected energy, eV/cell: -12.61
data_YZn2Ag
_space_group_name_H-M_alt 'P 4/m m m'
_space_group_IT_number 123
_space_group_name_Hall '-P 4 2'
_cell_length_a 3.3463
_cell_length_b 3.3463
_cell_length_c 6.9025
_cell_angle_alpha 90.00
_cell_angle_beta 90.00
_cell_angle_gamma 90.00
loop_
_atom_site_label
_atom_site_fract_x
_atom_site_fract_y
_atom_site_fract_z
Y1 0.0000 0.0000 0.0000
Zn1 0.5000 0.5000 0.2875
Ag1 0.0000 0.0000 0.5000

---

# YZnAg3 GGA-PBE relaxed
# ΔE_f, meV per atom: -129
# Uncorrected energy, eV/cell: -33.87
# Distance to the lowest polymorph of the same formula, meV per atom: 87.0
data_YZnAg3
_space_group_name_H-M_alt 'P 63/m m c'
_space_group_IT_number 194
_space_group_name_Hall '-P 6c 2c'
_cell_length_a 6.6841
_cell_length_b 6.6841
_cell_length_c 5.3396
_cell_angle_alpha 90.00
_cell_angle_beta 90.00
_cell_angle_gamma 120.00
loop_
_atom_site_label
_atom_site_fract_x
_atom_site_fract_y
_atom_site_fract_z
Y1 0.3333 0.6667 0.2500
Zn1 0.0000 0.0000 0.0000
Ag1 0.1938 0.3877 0.7500

---

# Y2ZnAg GGA-PBE relaxed
# ΔE_f, meV per atom: -186
# Uncorrected energy, eV/cell: -17.80
data_Y2ZnAg
_space_group_name_H-M_alt 'P 4 m m'
_space_group_IT_number 99
_cell_length_a 3.7073
_cell_length_b 3.7073
_cell_length_c 7.0327
_cell_angle_alpha 90.00
_cell_angle_beta 90.00
_cell_angle_gamma 90.00
loop_
_space_group_symop_operation_xyz
'x,y,z'
'-y,x,z'
'-x,-y,z'
'y,-x,z'
'-x,y,z'
'y,x,z'
'x,-y,z'
'-y,-x,z'
loop_
_atom_site_label
_atom_site_fract_x
_atom_site_fract_y
_atom_site_fract_z
Y1 0.0000 0.0000 0.0000
Y2 0.5000 0.5000 0.3352
Zn1 0.0000 0.0000 0.5594
Ag1 0.5000 0.5000 0.7655

---

# YZn3Ag GGA-PBE relaxed
# ΔE_f, meV per atom: 133
# Uncorrected energy, eV/cell: -12.47
# Distance to the lowest polymorph of the same formula, meV per atom: 373.1
data_YZn3Ag
_space_group_name_H-M_alt 'P m -3 m'
_space_group_IT_number 221
_space_group_name_Hall '-P 4 2 3'
_cell_length_a 4.8043
_cell_length_b 4.8043
_cell_length_c 4.8043
_cell_angle_alpha 90.00
_cell_angle_beta 90.00
_cell_angle_gamma 90.00
loop_
_atom_site_label
_atom_site_fract_x
_atom_site_fract_y
_atom_site_fract_z
Y1 0.0000 0.0000 0.0000
Zn1 0.0000 0.5000 0.5000
Ag1 0.5000 0.5000 0.5000

---

Q: The lowest ΔE_f belongs to which entry?
A: Y3Zn4Ag2

---

Repeat the seventh record exactly.
# Y2ZnAg GGA-PBE relaxed
# ΔE_f, meV per atom: -186
# Uncorrected energy, eV/cell: -17.80
data_Y2ZnAg
_space_group_name_H-M_alt 'P 4 m m'
_space_group_IT_number 99
_cell_length_a 3.7073
_cell_length_b 3.7073
_cell_length_c 7.0327
_cell_angle_alpha 90.00
_cell_angle_beta 90.00
_cell_angle_gamma 90.00
loop_
_space_group_symop_operation_xyz
'x,y,z'
'-y,x,z'
'-x,-y,z'
'y,-x,z'
'-x,y,z'
'y,x,z'
'x,-y,z'
'-y,-x,z'
loop_
_atom_site_label
_atom_site_fract_x
_atom_site_fract_y
_atom_site_fract_z
Y1 0.0000 0.0000 0.0000
Y2 0.5000 0.5000 0.3352
Zn1 0.0000 0.0000 0.5594
Ag1 0.5000 0.5000 0.7655

---

Q: uncorrected energy of number 1 (YZn3Ag)?
A: -57.30 eV/cell

---

Q: Among the records above, which one has the highest ΔE_f?
A: number 8